A geometry-optimized TbPrCN2O2 structure, computed with PBE-GGA.

- raw total energy (eV per cell) = -59.89
- space-group type = No. 156

POSCAR file:
```
TbPrCN2O2
1.0
-2.4375 1.8024 -2.3344
0.0122 -3.8223 0.1716
-5.6146 0.2540 6.0588
N Pr O C Tb
2 1 2 1 1
direct
0.0000 0.0000 0.8554
0.0000 0.0000 0.1544
0.6667 0.3333 0.6805
0.6667 0.3333 0.3889
0.3333 0.6667 0.5947
0.0000 0.0000 0.0051
0.3333 0.6667 0.3210
```

=====

A geometry-optimized DyAl6Ag structure, computed with PBE-GGA.

- raw total energy (eV per cell) = -30.76
- space-group type = No. 187

POSCAR file:
```
DyAl6Ag
1.0
6.1008 0.0000 0.0000
-3.0504 5.2834 0.0000
0.0000 0.0000 4.6187
Al Dy Ag
6 1 1
direct
0.1694 0.8306 0.0000
0.4849 0.9699 0.5000
0.4849 0.5151 0.5000
0.0301 0.5151 0.5000
0.1694 0.3388 0.0000
0.6612 0.8306 0.0000
0.6667 0.3333 0.0000
0.0000 0.0000 0.5000
```

=====

A geometry-optimized GdLu3C2Se2 structure, computed with PBE-GGA.

- raw total energy (eV per cell) = -53.01
- space-group type = No. 156

POSCAR file:
```
GdLu3C2Se2
1.0
-0.9583 -2.9779 -1.9777
3.5747 0.8198 0.4964
0.1576 -7.2599 10.8552
Lu Se C Gd
3 2 2 1
direct
0.6667 0.3333 0.1036
0.0000 0.0000 0.5959
0.6667 0.3333 0.4014
0.0000 0.0000 0.2518
0.6667 0.3333 0.7433
0.3333 0.6667 0.0052
0.3333 0.6667 0.4978
0.0000 0.0000 0.9008
```

=====

A geometry-optimized CuRePd structure, computed with PBE-GGA.

- raw total energy (eV per cell) = -18.81
- space-group type = No. 216
- ΔE to the lowest computed polymorph (meV per atom) = 0
- formation energy (eV per atom) = 0.83

POSCAR file:
```
CuRePd
1.0
0.0000 2.8984 2.8984
2.8984 0.0000 2.8984
2.8984 2.8984 0.0000
Pd Cu Re
1 1 1
direct
0.0000 0.0000 0.0000
0.2500 0.2500 0.2500
0.7500 0.7500 0.7500
```